{"formula": "FePtBr2", "functional": "GGA-PBEsol", "state": "relaxed", "lattice_angstrom": [[3.1564, 0.0000, 0.0000], [0.0000, 3.1564, 0.0000], [0.0000, 0.0000, 6.9858]], "species": ["Fe", "Pt", "Br", "Br"], "fractional_positions": [[0.0000, 0.0000, 0.0000], [0.0000, 0.0000, 0.5000], [0.5000, 0.5000, 0.2268], [0.5000, 0.5000, 0.7732]], "energy_ev_per_atom": -4.26, "formation_energy_uncorrected_ev_per_atom": 0.658, "magmom_total_mub_per_fu": 3.7, "de_polymorph_kcal_per_mol_atoms": 12.89}